(1)
DFT (PBE-GGA) results for a geometry-optimized PmAs2Pd5Pb structure.

a = 4.356 Å, b = 4.356 Å, c = 8.829 Å
α = 90.00°, β = 90.00°, γ = 90.00°
Space group P4/mmm (No. 123)
Asymmetric unit:
Pm 0.000 0.000 0.000 x1
As 0.500 0.500 0.145 x2
Pd 0.000 0.500 0.279 x4
Pd 0.500 0.500 0.500 x1
Pb 0.000 0.000 0.500 x1

* total magnetic moment: 0.0 μB per formula unit
* DFT formation energy: -57.7 kJ per mole of atoms
* DOS(E_F): 5.375 states/eV/cell
* calculated density: 10.25 Mg/m³
* total energy: -5.456 eV per atom

(2)
DFT (PBE-GGA) results for a geometry-optimized PmAs2Pd7Pb2 structure.

a = 5.809 Å, b = 5.804 Å, c = 14.531 Å
α = 90.00°, β = 96.64°, γ = 90.00°
Space group C2/m (No. 12)
Asymmetric unit:
Pm 0.000 0.000 0.000 x2
As 0.073 0.500 0.249 x4
Pd 0.000 0.500 0.000 x2
Pd 0.110 0.500 0.421 x4
Pd 0.205 0.250 0.849 x8
Pb 0.113 0.000 0.393 x4

* total magnetic moment: 0.0 μB per formula unit
* DFT formation energy: -41.3 kJ per mole of atoms
* DOS(E_F): 10.542 states/eV/cell
* calculated density: 9.92 Mg/m³
* total energy: -5.246 eV per atom

(3)
DFT (PBE-GGA) results for a geometry-optimized As2Pd7PtPb2 structure.

a = 5.682 Å, b = 5.677 Å, c = 14.337 Å
α = 90.00°, β = 96.99°, γ = 90.00°
Space group C2/m (No. 12)
Asymmetric unit:
As 0.072 0.000 0.242 x4
Pd 0.000 0.000 0.000 x2
Pd 0.113 0.000 0.418 x4
Pd 0.207 0.250 0.860 x8
Pt 0.000 0.500 0.000 x2
Pb 0.111 0.500 0.391 x4

* total magnetic moment: 0.0 μB per formula unit
* DFT formation energy: -17.8 kJ per mole of atoms
* DOS(E_F): 15.621 states/eV/cell
* calculated density: 10.88 Mg/m³
* total energy: -5.110 eV per atom

(4)
DFT (PBE-GGA) results for a geometry-optimized AsPdPtPb2 structure.

a = 5.168 Å, b = 5.168 Å, c = 5.088 Å
α = 90.00°, β = 90.00°, γ = 90.00°
Space group P4/mmm (No. 123)
Asymmetric unit:
As 0.000 0.000 0.000 x1
Pd 0.500 0.500 0.500 x1
Pt 0.500 0.500 0.000 x1
Pb 0.000 0.500 0.500 x2

* total magnetic moment: 0.0 μB per formula unit
* DFT formation energy: 54.2 kJ per mole of atoms
* DOS(E_F): 2.889 states/eV/cell
* calculated density: 9.66 Mg/m³
* total energy: -4.099 eV per atom